1.
Density functional theory data (PBE) for an optimized crystal structure of CoTe3Mo.

Cell lengths 4.979, 4.979, 4.979 Å; angles 90.00, 90.00, 90.00 degrees
Space group Pm-3m (No. 221)
Inequivalent atoms, fractional coordinates:
Co: 0.000 0.000 0.000 x1
Te: 0.000 0.000 0.500 x3
Mo: 0.500 0.500 0.500 x1

- Size of the total moment: 2.296 μB/cell
- Formation energy from raw total energies: 424 kJ/mol of formula units
- Crystal system: cubic
- D(E_F): 5.7 states/eV/cell

2.
Density functional theory data (PBE) for an optimized crystal structure of Co2TeMo.

Cell lengths 8.410, 3.187, 4.524 Å; angles 90.00, 100.54, 90.00 degrees
Space group Cm (No. 8)
Inequivalent atoms, fractional coordinates:
Co: 0.000 0.000 0.000 x2
Co: 0.240 0.500 0.221 x2
Te: 0.495 0.000 0.457 x2
Mo: 0.268 0.000 0.819 x2

- Size of the total moment: 0.000 μB/cell
- Formation energy from raw total energies: 128 kJ/mol of formula units
- Crystal system: monoclinic
- D(E_F): 5.5 states/eV/cell

3.
Density functional theory data (PBE) for an optimized crystal structure of Co2TeMo.

Cell lengths 3.9808, 3.9808, 13.8542 Å; angles 90.00, 90.00, 120.00 degrees
Space group R3m (No. 160, hexagonal axes)
Inequivalent atoms, fractional coordinates:
Co: 0.0000 0.0000 0.0000 x3
Co: 0.0000 0.0000 0.2827 x3
Te: 0.0000 0.0000 0.5243 x3
Mo: 0.0000 0.0000 0.7310 x3

- Size of the total moment: 6.701 μB/cell
- Formation energy from raw total energies: 175 kJ/mol of formula units
- Crystal system: trigonal
- D(E_F): 15.9 states/eV/cell

4.
Density functional theory data (PBE) for an optimized crystal structure of CoTe2Mo.

Cell lengths 3.824, 3.823, 6.830 Å; angles 90.00, 90.16, 90.00 degrees
Space group Pm (No. 6)
Inequivalent atoms, fractional coordinates:
Co: 0.000 0.000 0.000 x1
Te: 0.002 0.500 0.268 x1
Te: 0.498 0.000 0.732 x1
Mo: 0.501 0.500 0.000 x1

- Size of the total moment: 1.486 μB/cell
- Formation energy from raw total energies: 0 kJ/mol of formula units
- Crystal system: monoclinic
- D(E_F): 2.1 states/eV/cell
- Energy above the lowest structure with this stoichiometry: 0.0174 eV/atom

5.
Density functional theory data (PBE) for an optimized crystal structure of Co2TeMo.

Cell lengths 3.889, 3.889, 7.553 Å; angles 90.00, 90.00, 90.00 degrees
Space group I4/mmm (No. 139)
Inequivalent atoms, fractional coordinates:
Co: 0.000 0.500 0.250 x4
Te: 0.000 0.000 0.000 x2
Mo: 0.000 0.000 0.500 x2

- Size of the total moment: 1.052 μB/cell
- Formation energy from raw total energies: 158 kJ/mol of formula units
- Crystal system: tetragonal
- D(E_F): 10.6 states/eV/cell

6.
Density functional theory data (PBE) for an optimized crystal structure of Co2TeMo.

Cell lengths 3.989, 3.989, 3.638 Å; angles 90.00, 90.00, 90.00 degrees
Space group P4/mmm (No. 123)
Inequivalent atoms, fractional coordinates:
Co: 0.000 0.500 0.000 x2
Te: 0.000 0.000 0.500 x1
Mo: 0.500 0.500 0.500 x1

- Size of the total moment: 2.833 μB/cell
- Formation energy from raw total energies: 141 kJ/mol of formula units
- Crystal system: tetragonal
- D(E_F): 5.0 states/eV/cell